No. 1
A plane-wave DFT calculation with PBE-GGA was carried out for a relaxed structure of BaCa2AcTe4.

abc: 4.676 8.108 8.144
angles: 70.69 90.00 90.00
Fractional coordinates of all 8 atoms:
Ba1 0.500 0.500 0.000
Ca1 0.000 0.000 0.000
Ca2 0.500 0.000 0.500
Ac1 0.000 0.500 0.500
Te1 0.000 0.773 0.735
Te2 0.000 0.227 0.265
Te3 0.500 0.769 0.250
Te4 0.500 0.231 0.750

- DFT total energy: -4.44 eV/atom



No. 2
A plane-wave DFT calculation with PBE-GGA was carried out for a relaxed structure of NaEr4Mg5.

abc: 3.724 3.724 19.550
angles: 90.00 90.00 90.00
Fractional coordinates of all 10 atoms:
Na1 0.000 0.000 0.000
Er1 0.000 0.000 0.211
Er2 0.000 0.000 0.403
Er3 0.000 0.000 0.597
Er4 0.000 0.000 0.789
Mg1 0.500 0.500 0.109
Mg2 0.500 0.500 0.307
Mg3 0.500 0.500 0.500
Mg4 0.500 0.500 0.693
Mg5 0.500 0.500 0.891

- DFT total energy: -2.78 eV/atom
- Formation energy from the elements: -0.02 eV/atom



No. 3
A plane-wave DFT calculation with PBE-GGA was carried out for a relaxed structure of Sr2CuIr.

abc: 8.197 8.197 8.197
angles: 30.58 30.58 30.58
Fractional coordinates of all 4 atoms:
Sr1 0.042 0.042 0.042
Sr2 0.208 0.208 0.208
Ir1 0.792 0.792 0.792
Cu1 0.458 0.458 0.458

- DFT total energy: -4.27 eV/atom
- Formation energy from the elements: -0.19 eV/atom



No. 4
A plane-wave DFT calculation with PBE-GGA was carried out for a relaxed structure of Ce2DyS3.

abc: 8.888 8.888 8.888
angles: 154.13 154.13 36.91
Fractional coordinates of all 6 atoms:
Ce1 0.668 0.668 0.000
Ce2 0.332 0.332 0.000
Dy1 0.000 0.000 0.000
S1 0.500 0.500 0.000
S2 0.837 0.837 0.000
S3 0.163 0.163 0.000

- DFT total energy: -6.84 eV/atom